VASP calculation (PBE) on a relaxed structure of AgBiPF.

Results
**Energy relative to the lowest polymorph listed for this composition**: 69 meV per atom

abc: 5.8228 6.7924 8.1796
angles: 90.00 90.00 90.00
Element x y z (fractional)
P (0.8980, 0.1132, 0.9188)
P (0.3980, 0.8868, 0.5812)
P (0.6020, 0.6132, 0.0812)
P (0.1020, 0.3868, 0.4188)
Bi (0.5335, 0.2120, 0.4227)
Bi (0.9665, 0.7120, 0.5773)
Bi (0.4665, 0.2880, 0.9227)
Bi (0.0335, 0.7880, 0.0773)
Ag (0.5819, 0.8386, 0.8445)
Ag (0.4181, 0.6614, 0.3445)
Ag (0.9181, 0.3386, 0.1555)
Ag (0.0819, 0.1614, 0.6555)
F (0.4091, 0.1011, 0.1706)
F (0.9091, 0.8989, 0.3294)
F (0.5909, 0.3989, 0.6706)
F (0.0909, 0.6011, 0.8294)

VASP calculation (PBE) on a relaxed structure of Er2TeAs.

Results
**Electronic total energy**: -22.74 eV/cell

abc: 4.1565 4.1565 7.4025
angles: 106.32 106.32 60.00
Element x y z (fractional)
Er (0.7390, 0.7390, 0.2165)
Er (0.2610, 0.2610, 0.7835)
Te (0.5000, 0.5000, 0.5000)
As (0.0000, 0.0000, 0.0000)

VASP calculation (PBE) on a relaxed structure of HgPt3.

Results
**Energy relative to the elements**: 1.46 kcal/mol of atoms

abc: 4.0588 4.0588 4.0411
angles: 90.00 90.00 90.00
Element x y z (fractional)
Pt (0.0000, 0.5000, 0.5000)
Pt (0.5000, 0.0000, 0.5000)
Pt (0.5000, 0.5000, 0.0000)
Hg (0.0000, 0.0000, 0.0000)

VASP calculation (PBE) on a relaxed structure of Re2Pt.

Results
**Energy relative to the lowest polymorph listed for this composition**: 3273 meV per atom
**Energy relative to the elements**: 86.15 kcal/mol of atoms

abc: 8.0249 8.0249 8.0249
angles: 60.00 60.00 60.00
Element x y z (fractional)
Re (0.1250, 0.1250, 0.6250)
Re (0.1250, 0.1250, 0.1250)
Re (0.6250, 0.1250, 0.1250)
Re (0.1250, 0.6250, 0.1250)
Pt (0.2500, 0.2500, 0.2500)
Pt (0.0000, 0.0000, 0.0000)

VASP calculation (PBE) on a relaxed structure of Tm3Zn3CuNiAu.

Results
**Energy relative to the elements**: -12.11 kcal/mol of atoms

abc: 7.1780 7.1780 3.7299
angles: 90.00 90.00 120.00
Element x y z (fractional)
Tm (0.2467, 0.9310, 0.5000)
Tm (0.0690, 0.3157, 0.5000)
Tm (0.6843, 0.7533, 0.5000)
Zn (0.9067, 0.5836, 0.0000)
Zn (0.4164, 0.3231, 0.0000)
Zn (0.6769, 0.0933, 0.0000)
Ni (0.0000, 0.0000, 0.0000)
Cu (0.6667, 0.3333, 0.5000)
Au (0.3333, 0.6667, 0.0000)

VASP calculation (PBE) on a relaxed structure of Tm3Al3Ni2Ge.

Results
**Energy relative to the lowest polymorph listed for this composition**: 0 meV per atom

abc: 7.1531 7.1531 3.7757
angles: 90.00 90.00 120.00
Element x y z (fractional)
Al (0.0000, 0.7328, 0.0000)
Al (0.7328, 0.0000, 0.0000)
Al (0.2672, 0.2672, 0.0000)
Tm (0.5937, 0.5937, 0.5000)
Tm (0.0000, 0.4063, 0.5000)
Tm (0.4063, 0.0000, 0.5000)
Ge (0.0000, 0.0000, 0.5000)
Ni (0.6667, 0.3333, 0.0000)
Ni (0.3333, 0.6667, 0.0000)

VASP calculation (PBE) on a relaxed structure of Cu2Ag.

Results
**Energy relative to the lowest polymorph listed for this composition**: 51 meV per atom
**Energy relative to the elements**: 2.23 kcal/mol of atoms

abc: 5.9866 5.9866 8.1751
angles: 103.58 103.58 26.30
Element x y z (fractional)
Ag (0.6753, 0.6753, 0.2376)
Ag (0.0000, 0.0000, 0.0000)
Ag (0.3247, 0.3247, 0.7624)
Cu (0.3338, 0.3338, 0.1145)
Cu (0.3464, 0.3464, 0.4518)
Cu (0.6536, 0.6536, 0.5482)
Cu (0.6662, 0.6662, 0.8855)
Cu (0.9925, 0.9925, 0.3366)
Cu (0.0075, 0.0075, 0.6634)

VASP calculation (PBE) on a relaxed structure of NdErI6.

Results
**Electronic total energy**: -29.85 eV/cell

abc: 7.7436 7.7436 7.7036
angles: 99.41 99.41 120.08
Element x y z (fractional)
I (0.5896, 0.9342, 0.2423)
I (0.4332, 0.0771, 0.7573)
I (0.0658, 0.4104, 0.7577)
I (0.9229, 0.5668, 0.2427)
I (0.2207, 0.2322, 0.2477)
I (0.7678, 0.7793, 0.7523)
Er (0.8339, 0.1661, 0.0000)
Nd (0.1660, 0.8340, 0.0000)

VASP calculation (PBE) on a relaxed structure of K2Na2HgAs2.

Results
**Energy relative to the lowest polymorph listed for this composition**: 11 meV per atom

abc: 9.2691 9.2691 9.2691
angles: 34.45 34.45 34.45
Element x y z (fractional)
As (0.0967, 0.0967, 0.0967)
As (0.9033, 0.9033, 0.9033)
Na (0.7917, 0.7917, 0.7917)
Na (0.2083, 0.2083, 0.2083)
K (0.3966, 0.3966, 0.3966)
K (0.6034, 0.6034, 0.6034)
Hg (0.0000, 0.0000, 0.0000)

VASP calculation (PBE) on a relaxed structure of NpBeTl.

Results
**Energy relative to the lowest polymorph listed for this composition**: 0 meV per atom

abc: 4.5647 4.5647 4.5647
angles: 60.00 60.00 60.00
Element x y z (fractional)
Np (0.2500, 0.2500, 0.2500)
Tl (0.7500, 0.7500, 0.7500)
Be (0.0000, 0.0000, 0.0000)

VASP calculation (PBE) on a relaxed structure of HfZrIn2Pd4.

Results
**Electronic total energy**: -49.66 eV/cell

abc: 4.5117 4.5117 8.4915
angles: 90.00 90.00 120.00
Element x y z (fractional)
Hf (0.0000, 0.0000, 0.5000)
In (0.3333, 0.6667, 0.7503)
In (0.3333, 0.6667, 0.2497)
Pd (0.0000, 0.0000, 0.1626)
Pd (0.0000, 0.0000, 0.8374)
Pd (0.6667, 0.3333, 0.6600)
Pd (0.6667, 0.3333, 0.3400)
Zr (0.6667, 0.3333, 0.0000)

VASP calculation (PBE) on a relaxed structure of LaTbSm.

Results
**Energy relative to the lowest polymorph listed for this composition**: 0 meV per atom
**Energy relative to the elements**: 16.02 kcal/mol of atoms

abc: 5.5371 5.5371 5.5371
angles: 60.00 60.00 60.00
Element x y z (fractional)
La (0.2500, 0.2500, 0.2500)
Sm (0.0000, 0.0000, 0.0000)
Tb (0.7500, 0.7500, 0.7500)

| no. | V (Å³/atom) |
| --- | --- |
| 1 | 20.2 |
| 2 | 26.2 |
| 3 | 16.6 |
| 4 | 60.9 |
| 5 | 18.5 |
| 6 | 18.6 |
| 7 | 14.0 |
| 8 | 47.2 |
| 9 | 32.5 |
| 10 | 22.4 |
| 11 | 18.7 |
| 12 | 40.0 |